Entry from Alexandria: a relaxed structure of K4Ho3MnSe8 (PBE).

The crystal system is trigonal. The formation energy from raw total energies is -1470 meV/atom. The value obtained for the density of states at the Fermi level is 3.1 states/eV/f.u. For the total energy, the calculation gives -4.918 eV per atom.

```
data_K4Ho3MnSe8
_chemical_formula_sum 'K12 Ho9 Mn3 Se24'
_symmetry_space_group_name_H-M 'R -3 m'
_symmetry_Int_Tables_number 166
_symmetry_space_group_name_Hall '-R 3 2"'
_cell_length_a 8.2548
_cell_length_b 8.2548
_cell_length_c 23.0102
_cell_angle_alpha 90.00
_cell_angle_beta 90.00
_cell_angle_gamma 120.00
loop_
_atom_site_label
_atom_site_fract_x
_atom_site_fract_y
_atom_site_fract_z
K1 0.0000 0.0000 0.0000
K2 0.0000 0.5000 0.0000
Ho1 0.0000 0.5000 0.5000
Mn1 0.0000 0.0000 0.5000
Se1 0.0000 0.0000 0.2356
Se2 0.0163 0.5081 0.2323
```

---

Entry from Alexandria: a relaxed structure of MgTlO3 (PBE).

The crystal system is cubic. The formation energy from raw total energies is -397 meV/atom. The value obtained for the density of states at the Fermi level is 1.2 states/eV/f.u. For the total energy, the calculation gives -4.164 eV per atom.

```
data_MgTlO3
_chemical_formula_sum 'Mg1 Tl1 O3'
_symmetry_space_group_name_H-M 'P m -3 m'
_symmetry_Int_Tables_number 221
_symmetry_space_group_name_Hall '-P 4 2 3'
_cell_length_a 4.147
_cell_length_b 4.147
_cell_length_c 4.147
_cell_angle_alpha 90.00
_cell_angle_beta 90.00
_cell_angle_gamma 90.00
loop_
_atom_site_label
_atom_site_fract_x
_atom_site_fract_y
_atom_site_fract_z
Mg1 0.000 0.000 0.000
Tl1 0.500 0.500 0.500
O1 0.000 0.500 0.500
```

---

Entry from Alexandria: a relaxed structure of BaZnCo2 (PBE).

The crystal system is orthorhombic. As for the formation energy: 486 meV/atom. The value obtained for the density of states at the Fermi level is 4.6 states/eV/f.u. For the total energy, the calculation gives -3.866 eV per atom.

```
data_BaZnCo2
_chemical_formula_sum 'Ba2 Zn2 Co4'
_symmetry_space_group_name_H-M 'I m m 2'
_symmetry_Int_Tables_number 44
_cell_length_a 3.998
_cell_length_b 5.860
_cell_length_c 7.822
_cell_angle_alpha 90.00
_cell_angle_beta 90.00
_cell_angle_gamma 90.00
loop_
_symmetry_equiv_pos_as_xyz
'x,y,z'
'-x,-y,z'
'-x,y,z'
'x,-y,z'
'x+1/2,y+1/2,z+1/2'
'-x+1/2,-y+1/2,z+1/2'
'-x+1/2,y+1/2,z+1/2'
'x+1/2,-y+1/2,z+1/2'
loop_
_atom_site_label
_atom_site_fract_x
_atom_site_fract_y
_atom_site_fract_z
Ba1 0.000 0.000 0.000
Zn1 0.000 0.500 0.165
Co1 0.000 0.000 0.471
Co2 0.000 0.500 0.841
```